# 1
Below is KRbInAu after structural relaxation, with properties calculated at the PBE level.

Unit cell a=11.319 b=11.319 c=6.277 alpha=98.73 beta=98.73 gamma=25.20
Sites, in units of the cell vectors:
K 0.214 0.214 0.220
K 0.786 0.786 0.780
Rb 0.441 0.441 0.707
Rb 0.559 0.559 0.293
In 0.084 0.084 0.781
In 0.916 0.916 0.219
Au 0.362 0.362 0.153
Au 0.638 0.638 0.847

Calculated values
Crystal system ... monoclinic
Symmetry ... No. 12
Raw total energy ... -2.1926 eV per atom

***

# 2
Below is KTl3In3Au4 after structural relaxation, with properties calculated at the PBE level.

Unit cell a=8.478 b=8.478 c=4.579 alpha=90.00 beta=90.00 gamma=120.00
Sites, in units of the cell vectors:
K 0.000 0.000 0.000
Tl 0.384 0.192 0.500
Tl 0.808 0.192 0.500
Tl 0.808 0.616 0.500
In 0.068 0.534 0.000
In 0.466 0.534 0.000
In 0.466 0.932 0.000
Au 0.213 0.426 0.500
Au 0.213 0.787 0.500
Au 0.574 0.787 0.500
Au 0.667 0.333 0.000

Calculated values
Crystal system ... hexagonal
Symmetry ... No. 187
Raw total energy ... -2.8841 eV per atom
Excess energy over the best structure of this formula in the dataset ... 0 meV per atom

***

# 3
Below is KTl3In3Au4 after structural relaxation, with properties calculated at the PBE level.

Unit cell a=8.658 b=8.658 c=4.453 alpha=90.00 beta=90.00 gamma=120.00
Sites, in units of the cell vectors:
K 0.000 0.000 0.000
Tl 0.076 0.538 0.000
Tl 0.462 0.538 0.000
Tl 0.462 0.924 0.000
In 0.402 0.201 0.500
In 0.799 0.201 0.500
In 0.799 0.598 0.500
Au 0.178 0.356 0.500
Au 0.178 0.822 0.500
Au 0.644 0.822 0.500
Au 0.667 0.333 0.000

Calculated values
Crystal system ... hexagonal
Symmetry ... No. 187
Raw total energy ... -2.8526 eV per atom
Excess energy over the best structure of this formula in the dataset ... 32 meV per atom

***

# 4
Below is KZnInAu2 after structural relaxation, with properties calculated at the PBE level.

Unit cell a=6.762 b=6.762 c=6.762 alpha=140.31 beta=140.31 gamma=57.39
Sites, in units of the cell vectors:
K 0.000 0.000 0.000
Zn 0.250 0.750 0.500
In 0.750 0.250 0.500
Au 0.382 0.382 0.000
Au 0.618 0.618 0.000

Calculated values
Crystal system ... tetragonal
Symmetry ... No. 119
Raw total energy ... -2.5896 eV per atom